Entry from the Alexandria database: a geometry-optimized CeGdTlOs structure (PBE-GGA).

Geometry as CIF:
```
data_CeGdTlOs
_cell_length_a 7.284
_cell_length_b 7.284
_cell_length_c 7.284
_cell_angle_alpha 90.00
_cell_angle_beta 90.00
_cell_angle_gamma 90.00
_space_group_name_H-M_alt 'F -4 3 m'
_space_group_IT_number 216
_space_group_name_Hall 'F -4 2 3'
loop_
_atom_site_label
_atom_site_fract_x
_atom_site_fract_y
_atom_site_fract_z
_atom_site_occupancy
Ce1 0.000 0.000 0.000 1
Gd1 0.000 0.000 0.500 1
Tl1 0.250 0.250 0.750 1
Os1 0.250 0.250 0.250 1
```

The calculated volume comes out at 97 Å³/f.u. The calculation puts the raw total energy at -8.4570 eV per atom. The calculation puts the formation energy at -5 kJ/mol of atoms.

---

Entry from the Alexandria database: a geometry-optimized LiErGa4 structure (PBE-GGA).

Geometry as CIF:
```
data_LiErGa4
_cell_length_a 4.303
_cell_length_b 6.730
_cell_length_c 7.754
_cell_angle_alpha 90.00
_cell_angle_beta 90.00
_cell_angle_gamma 90.00
_space_group_name_H-M_alt 'I m m m'
_space_group_IT_number 71
_space_group_name_Hall '-I 2 2'
loop_
_atom_site_label
_atom_site_fract_x
_atom_site_fract_y
_atom_site_fract_z
_atom_site_occupancy
Li1 0.000 0.000 0.000 1
Er1 0.000 0.500 0.000 1
Ga1 0.000 0.293 0.335 1
```

The calculated volume comes out at 112 Å³/f.u. The calculation puts the raw total energy at -3.5437 eV per atom. The calculation puts the formation energy at -43 kJ/mol of atoms.

---

Entry from the Alexandria database: a geometry-optimized Ce3PmDy2S6 structure (PBE-GGA).

Geometry as CIF:
```
data_Ce3PmDy2S6
_cell_length_a 6.889
_cell_length_b 11.938
_cell_length_c 6.941
_cell_angle_alpha 90.00
_cell_angle_beta 109.39
_cell_angle_gamma 90.00
_space_group_name_H-M_alt 'C 1 2/m 1'
_space_group_IT_number 12
_space_group_name_Hall '-C 2y'
loop_
_atom_site_label
_atom_site_fract_x
_atom_site_fract_y
_atom_site_fract_z
_atom_site_occupancy
Ce1 0.000 0.000 0.000 1
Ce2 0.000 0.336 0.000 1
Pm1 0.000 0.500 0.500 1
Dy1 0.000 0.167 0.500 1
S1 0.240 0.000 0.740 1
S2 0.249 0.170 0.257 1
```

The calculated volume comes out at 269 Å³/f.u. As for the formation energy (no corrections): -2.03 eV per atom. The calculation puts the raw total energy at -6.7434 eV per atom.

---

Entry from the Alexandria database: a geometry-optimized YZn2Ag4 structure (PBE-GGA).

Geometry as CIF:
```
data_YZn2Ag4
_cell_length_a 7.021
_cell_length_b 7.021
_cell_length_c 5.312
_cell_angle_alpha 90.00
_cell_angle_beta 90.00
_cell_angle_gamma 90.00
_space_group_name_H-M_alt 'I 4/m m m'
_space_group_IT_number 139
_space_group_name_Hall '-I 4 2'
loop_
_atom_site_label
_atom_site_fract_x
_atom_site_fract_y
_atom_site_fract_z
_atom_site_occupancy
Y1 0.000 0.000 0.000 1
Zn1 0.000 0.500 0.250 1
Ag1 0.197 0.197 0.500 1
```

The calculated volume comes out at 131 Å³/f.u. The calculation puts the raw total energy at -3.0986 eV per atom. The calculation puts the formation energy at -18 kJ/mol of atoms.

---

Entry from the Alexandria database: a geometry-optimized TiNbVPb structure (PBE-GGA).

Geometry as CIF:
```
data_TiNbVPb
_cell_length_a 6.592
_cell_length_b 6.592
_cell_length_c 6.592
_cell_angle_alpha 90.00
_cell_angle_beta 90.00
_cell_angle_gamma 90.00
_space_group_name_H-M_alt 'F -4 3 m'
_space_group_IT_number 216
_space_group_name_Hall 'F -4 2 3'
loop_
_atom_site_label
_atom_site_fract_x
_atom_site_fract_y
_atom_site_fract_z
_atom_site_occupancy
Ti1 0.000 0.000 0.000 1
Nb1 0.250 0.250 0.750 1
V1 0.000 0.000 0.500 1
Pb1 0.250 0.250 0.250 1
```

The calculated volume comes out at 72 Å³/f.u. The calculation puts the raw total energy at -7.5795 eV per atom. The calculation puts the formation energy at 11 kJ/mol of atoms.

---

Entry from the Alexandria database: a geometry-optimized Nd2GdZr structure (PBE-GGA).

Geometry as CIF:
```
data_Nd2GdZr
_cell_length_a 3.4230
_cell_length_b 3.4230
_cell_length_c 36.6320
_cell_angle_alpha 90.00
_cell_angle_beta 90.00
_cell_angle_gamma 120.00
_space_group_name_H-M_alt 'R -3 m'
_space_group_IT_number 166
_space_group_name_Hall '-R 3 2"'
loop_
_atom_site_label
_atom_site_fract_x
_atom_site_fract_y
_atom_site_fract_z
_atom_site_occupancy
Nd1 0.0000 0.0000 0.0853 1
Gd1 0.0000 0.0000 0.5000 1
Zr1 0.0000 0.0000 0.0000 1
```

The calculated volume comes out at 124 Å³/f.u. The calculation puts the raw total energy at -7.7202 eV per atom. As for the energy relative to the lowest polymorph listed for this composition: 194 meV per atom. The calculation puts the formation energy at 31 kJ/mol of atoms.

---

Entry from the Alexandria database: a geometry-optimized Pr8As3PBr4 structure (PBE-GGA).

Geometry as CIF:
```
data_Pr8As3PBr4
_cell_length_a 8.5849
_cell_length_b 8.5849
_cell_length_c 21.9215
_cell_angle_alpha 90.00
_cell_angle_beta 90.00
_cell_angle_gamma 120.00
_space_group_name_H-M_alt 'R -3 m'
_space_group_IT_number 166
_space_group_name_Hall '-R 3 2"'
loop_
_atom_site_label
_atom_site_fract_x
_atom_site_fract_y
_atom_site_fract_z
_atom_site_occupancy
Pr1 0.0000 0.0000 0.2362 1
Pr2 0.0138 0.5069 0.2356 1
As1 0.0000 0.5000 0.5000 1
P1 0.0000 0.0000 0.5000 1
Br1 0.0000 0.0000 0.0000 1
Br2 0.0000 0.5000 0.0000 1
```

The calculated volume comes out at 466 Å³/f.u. As for the formation energy (no corrections): -1.45 eV per atom. The calculation puts the raw total energy at -5.4714 eV per atom.

---

Entry from the Alexandria database: a geometry-optimized AlAg3Au12 structure (PBE-GGA).

Geometry as CIF:
```
data_AlAg3Au12
_cell_length_a 4.186
_cell_length_b 4.186
_cell_length_c 16.245
_cell_angle_alpha 90.00
_cell_angle_beta 90.00
_cell_angle_gamma 90.00
_space_group_name_H-M_alt 'P 4/m m m'
_space_group_IT_number 123
_space_group_name_Hall '-P 4 2'
loop_
_atom_site_label
_atom_site_fract_x
_atom_site_fract_y
_atom_site_fract_z
_atom_site_occupancy
Al1 0.000 0.000 0.000 1
Ag1 0.000 0.000 0.248 1
Ag2 0.000 0.000 0.500 1
Au1 0.000 0.500 0.120 1
Au2 0.000 0.500 0.374 1
Au3 0.500 0.500 0.000 1
Au4 0.500 0.500 0.247 1
Au5 0.500 0.500 0.500 1
```

The calculated volume comes out at 285 Å³/f.u. The calculation puts the raw total energy at -3.3028 eV per atom. The calculation puts the formation energy at -7 kJ/mol of atoms.

---

- Among the records above, which one has the highest raw total energy?
  YZn2Ag4

---

- Among the records above, which one has the highest raw total energy?
  YZn2Ag4

---

- What is the calculated volume in the fifth record?
  72 Å³/f.u.

---

- The highest calculated volume belongs to which entry?
  Pr8As3PBr4